# 1
# ZrTl2W

An optimized crystal structure of ZrTl2W (PBE, the Alexandria database).

Summary:
- ΔE to the lowest computed polymorph (kcal/mol of atoms) = 3.57
- space group = P4/mmm
- energy of formation (meV per atom) = 601
- E_tot (eV/atom) = -5.957

abc: 4.3001 4.3001 4.5576
angles: 90.00 90.00 90.00
With the nearest neighbours (Å) after each atom.
Fractional positions:
Zr 0.0000 0.5000 0.5000  4 W 3.04, 8 Tl 3.13
Tl 0.0000 0.0000 0.0000  4 Tl 3.04, 4 Zr 3.13, 4 W 3.13
Tl 0.5000 0.5000 0.0000  4 Tl 3.04, 4 Zr 3.13, 4 W 3.13
W 0.5000 0.0000 0.5000  4 Zr 3.04, 8 Tl 3.13

---

# 2
# ZrTlW2

An optimized crystal structure of ZrTlW2 (PBE, the Alexandria database).

Summary:
- ΔE to the lowest computed polymorph (kcal/mol of atoms) = 9.53
- space group = Pmmm
- energy of formation (meV per atom) = 698
- E_tot (eV/atom) = -8.507

abc: 2.8617 4.7130 5.9845
angles: 90.00 90.00 90.00
With the nearest neighbours (Å) after each atom.
Fractional positions:
Zr 0.5000 0.5000 0.2500  2 Zr 2.86, 2 Tl 2.99, 8 W 3.03
Tl 0.5000 0.5000 0.7500  2 Tl 2.86, 2 Zr 2.99
W 0.0000 0.0000 0.0408  1 W 2.50
W 0.0000 0.0000 0.4592  1 W 2.50

---

# 3
# ZrTlW2

An optimized crystal structure of ZrTlW2 (PBE, the Alexandria database).

Summary:
- ΔE to the lowest computed polymorph (kcal/mol of atoms) = 7.67
- space group = Cmmm
- energy of formation (meV per atom) = 617
- E_tot (eV/atom) = -8.588

abc: 2.9326 2.9326 9.5470
angles: 90.00 90.00 110.58
With the nearest neighbours (Å) after each atom.
Fractional positions:
W 0.0000 0.0000 0.4949  2 Zr 2.87, 4 W 2.93, 2 Tl 2.95
W 0.0000 0.0000 0.0051  2 Zr 2.87, 4 W 2.93, 2 Tl 2.95
Tl 0.5000 0.5000 0.7500  4 Tl 2.93, 4 W 2.95
Zr 0.5000 0.5000 0.2500  4 W 2.87, 4 Zr 2.93

---

# 4
# ZrTl4W

An optimized crystal structure of ZrTl4W (PBE, the Alexandria database).

Summary:
- space group = F-43m
- energy of formation (meV per atom) = 1107
- E_tot (eV/atom) = -4.054

abc: 5.9230 5.9230 5.9230
angles: 60.00 60.00 60.00
With the nearest neighbours (Å) after each atom.
Fractional positions:
Tl 0.3753 0.8742 0.3753  6 Tl 2.95-2.97
Tl 0.3753 0.3753 0.3753  6 Tl 2.95-2.97
Tl 0.8742 0.3753 0.3753  6 Tl 2.95-2.97
Tl 0.3753 0.3753 0.8742  6 Tl 2.95-2.97
Zr 0.0000 0.0000 0.0000  12 Tl 3.47, 4 W 3.63
W 0.7500 0.7500 0.7500  12 Tl 3.47, 4 Zr 3.63

---

# 5
# ZrTl2W

An optimized crystal structure of ZrTl2W (PBE, the Alexandria database).

Summary:
- ΔE to the lowest computed polymorph (kcal/mol of atoms) = 5.80
- space group = Fm-3m
- energy of formation (meV per atom) = 698
- E_tot (eV/atom) = -5.861

abc: 4.8973 4.8973 4.8973
angles: 60.00 60.00 60.00
With the nearest neighbours (Å) after each atom.
Fractional positions:
Tl 0.7500 0.7500 0.7500  4 Zr 3.00, 4 W 3.00
Tl 0.2500 0.2500 0.2500  4 W 3.00, 4 Zr 3.00
Zr 0.0000 0.0000 0.0000  8 Tl 3.00
W 0.5000 0.5000 0.5000  8 Tl 3.00

---

# 6
# ZrTlW4

An optimized crystal structure of ZrTlW4 (PBE, the Alexandria database).

Summary:
- space group = F-43m
- energy of formation (meV per atom) = 356
- E_tot (eV/atom) = -10.099

abc: 5.4133 5.4133 5.4133
angles: 60.00 60.00 60.00
With the nearest neighbours (Å) after each atom.
Fractional positions:
Tl 0.0000 0.0000 0.0000  12 W 3.17, 4 Zr 3.31
W 0.3744 0.3744 0.8767  6 W 2.69-2.72
W 0.8767 0.3744 0.3744  6 W 2.69-2.72
W 0.3744 0.3744 0.3744  6 W 2.69-2.72
W 0.3744 0.8767 0.3744  6 W 2.69-2.72
Zr 0.7500 0.7500 0.7500  12 W 3.18, 4 Tl 3.31

---

# 7
# Y3Tl

An optimized crystal structure of Y3Tl (PBE, the Alexandria database).

Summary:
- space group = P4/mmm
- energy of formation (meV per atom) = -184
- E_tot (eV/atom) = -5.624

abc: 3.6445 3.6445 9.1381
angles: 90.00 90.00 90.05
With the nearest neighbours (Å) after each atom.
Fractional positions:
Y 0.0000 0.0000 0.5000  12 Y 3.59-3.64
Y 0.5000 0.5000 0.2259  4 Tl 3.30, 8 Y 3.59-3.64
Y 0.5000 0.5000 0.7741  4 Tl 3.30, 8 Y 3.59-3.64
Tl 0.0000 0.0000 0.0000  8 Y 3.30, 4 Tl 3.64

---

# 8
# Y2Tl

An optimized crystal structure of Y2Tl (PBE, the Alexandria database).

Summary:
- space group = Fd-3m
- energy of formation (meV per atom) = 234
- E_tot (eV/atom) = -4.864

abc: 6.3945 6.3945 6.3945
angles: 60.00 60.00 60.00
With the nearest neighbours (Å) after each atom.
Fractional positions:
Y 0.6250 0.1250 0.1250  6 Y 3.20
Y 0.1250 0.1250 0.1250  6 Y 3.20
Y 0.1250 0.1250 0.6250  6 Y 3.20
Y 0.1250 0.6250 0.1250  6 Y 3.20
Tl 0.7500 0.7500 0.7500  12 Y 3.75, 4 Tl 3.92
Tl 0.5000 0.5000 0.5000  12 Y 3.75, 4 Tl 3.92

---

# 9
# YTl5

An optimized crystal structure of YTl5 (PBE, the Alexandria database).

Summary:
- ΔE to the lowest computed polymorph (kcal/mol of atoms) = 0.05
- space group = Amm2
- energy of formation (meV per atom) = -70
- E_tot (eV/atom) = -3.120

abc: 8.8155 8.8155 5.5325
angles: 90.00 90.00 155.75
With the nearest neighbours (Å) after each atom.
Fractional positions:
Tl 0.9984 0.0016 0.0000  10 Tl 3.32-3.70, 2 Y 3.43
Tl 0.4530 0.5470 0.5000  2 Y 3.36, 10 Tl 3.42-3.70
Tl 0.7816 0.2184 0.5000  2 Y 3.41, 10 Tl 3.42-3.70
Tl 0.3265 0.6735 0.0000  12 Tl 3.42-3.70
Tl 0.6581 0.3419 0.0000  8 Tl 3.32-3.70, 4 Y 3.41
Y 0.1158 0.8842 0.5000  10 Tl 3.36-3.43, 2 Y 3.70

---

# 10
# Y5Tl

An optimized crystal structure of Y5Tl (PBE, the Alexandria database).

Summary:
- ΔE to the lowest computed polymorph (kcal/mol of atoms) = 0.03
- space group = Cm
- energy of formation (meV per atom) = -117
- E_tot (eV/atom) = -5.898

abc: 6.6233 6.6233 8.2850
angles: 75.74 75.74 31.66
With the nearest neighbours (Å) after each atom.
Fractional positions:
Y 0.3247 0.3247 0.3366  10 Y 3.34-3.62, 2 Tl 3.62
Y 0.9392 0.9392 0.6041  11 Y 3.45-3.61, 1 Tl 3.58
Y 0.6585 0.6585 0.6899  2 Tl 3.32, 9 Y 3.46-3.62
Y 0.6062 0.6062 0.2586  2 Tl 3.31, 9 Y 3.48-3.61
Y 0.2986 0.2986 0.9456  3 Tl 3.32-3.64, 9 Y 3.34-3.61
Tl 0.0061 0.0061 0.9985  10 Y 3.31-3.64, 2 Tl 3.61

---

# 11
# Y2Tl

An optimized crystal structure of Y2Tl (PBE, the Alexandria database).

Summary:
- space group = I4_1/amd
- energy of formation (meV per atom) = -238
- E_tot (eV/atom) = -5.336

abc: 15.9462 15.9462 15.9462
angles: 163.03 163.03 24.09
With the nearest neighbours (Å) after each atom.
Fractional positions:
Y 0.6635 0.1635 0.5000  6 Tl 3.34-3.58, 4 Y 3.36-3.42
Y 0.5071 0.0071 0.5000  4 Tl 3.21-3.52, 6 Y 3.36-3.42
Y 0.4135 0.4135 0.0000  6 Tl 3.34-3.58, 4 Y 3.36-3.42
Y 0.8365 0.3365 0.5000  6 Tl 3.34-3.58, 4 Y 3.36-3.42
Y 0.7429 0.7429 0.0000  4 Tl 3.21-3.52, 6 Y 3.36-3.42
Y 0.2571 0.2571 0.0000  4 Tl 3.21-3.52, 6 Y 3.36-3.42
Y 0.9929 0.4929 0.5000  4 Tl 3.21-3.52, 6 Y 3.36-3.42
Y 0.5865 0.5865 0.0000  6 Tl 3.34-3.58, 4 Y 3.36-3.42
Tl 0.9230 0.9230 0.0000  10 Y 3.21-3.58
Tl 0.3270 0.8270 0.5000  10 Y 3.21-3.58
Tl 0.0770 0.0770 0.0000  10 Y 3.21-3.58
Tl 0.1730 0.6730 0.5000  10 Y 3.21-3.58

---

# 12
# Y2Tl

An optimized crystal structure of Y2Tl (PBE, the Alexandria database).

Summary:
- space group = I4/mcm
- energy of formation (meV per atom) = -217
- E_tot (eV/atom) = -5.316

abc: 6.2177 6.2177 6.2177
angles: 106.62 106.62 115.34
With the nearest neighbours (Å) after each atom.
Fractional positions:
Y 0.8307 0.3307 0.1614  4 Tl 3.22, 1 Y 3.56
Y 0.6693 0.8307 0.5000  4 Tl 3.22, 1 Y 3.56
Y 0.1693 0.6693 0.8386  4 Tl 3.22, 1 Y 3.56
Y 0.3307 0.1693 0.5000  4 Tl 3.22, 1 Y 3.56
Tl 0.7500 0.7500 0.0000  8 Y 3.22, 2 Tl 3.33
Tl 0.2500 0.2500 0.0000  8 Y 3.22, 2 Tl 3.33

---

# 13
# Y5Tl

An optimized crystal structure of Y5Tl (PBE, the Alexandria database).

Summary:
- ΔE to the lowest computed polymorph (kcal/mol of atoms) = 0.00
- space group = P4/mmm
- energy of formation (meV per atom) = -118
- E_tot (eV/atom) = -5.899

abc: 3.6151 3.6151 14.2323
angles: 90.00 90.00 90.00
With the nearest neighbours (Å) after each atom.
Fractional positions:
Y 0.5000 0.5000 0.5095  12 Y 3.58-3.62
Y 0.0000 0.0000 0.6863  4 Tl 3.30, 8 Y 3.59-3.62
Y 0.5000 0.5000 0.1572  12 Y 3.58-3.62
Y 0.0000 0.0000 0.9804  4 Tl 3.30, 8 Y 3.59-3.62
Y 0.0000 0.0000 0.3333  12 Y 3.58-3.62
Tl 0.5000 0.5000 0.8333  8 Y 3.30, 4 Tl 3.62

---

# 14
# YTl5

An optimized crystal structure of YTl5 (PBE, the Alexandria database).

Summary:
- ΔE to the lowest computed polymorph (kcal/mol of atoms) = 3.36
- space group = F-43m
- energy of formation (meV per atom) = 73
- E_tot (eV/atom) = -2.976

abc: 6.3434 6.3434 6.3434
angles: 60.00 60.00 60.00
With the nearest neighbours (Å) after each atom.
Fractional positions:
Tl 0.2500 0.2500 0.2500  12 Tl 3.72, 4 Y 3.88
Tl 0.1252 0.6249 0.6249  6 Tl 3.17
Tl 0.6249 0.1252 0.6249  6 Tl 3.17
Tl 0.6249 0.6249 0.6249  6 Tl 3.17
Tl 0.6249 0.6249 0.1252  6 Tl 3.17
Y 0.0000 0.0000 0.0000  16 Tl 3.72-3.88

---

# 15
# YTl5

An optimized crystal structure of YTl5 (PBE, the Alexandria database).

Summary:
- ΔE to the lowest computed polymorph (kcal/mol of atoms) = 0.00
- space group = P4/mmm
- energy of formation (meV per atom) = -73
- E_tot (eV/atom) = -3.122

abc: 3.6480 3.6480 13.4891
angles: 90.00 90.00 90.00
With the nearest neighbours (Å) after each atom.
Fractional positions:
Tl 0.0000 0.0000 0.3333  12 Tl 3.57-3.65
Tl 0.0000 0.0000 0.9867  4 Y 3.31, 8 Tl 3.39-3.65
Tl 0.5000 0.5000 0.1502  12 Tl 3.39-3.65
Tl 0.0000 0.0000 0.6800  4 Y 3.31, 8 Tl 3.39-3.65
Tl 0.5000 0.5000 0.5164  12 Tl 3.39-3.65
Y 0.5000 0.5000 0.8333  8 Tl 3.31, 4 Y 3.65

---

# 16
# Y3Tl

An optimized crystal structure of Y3Tl (PBE, the Alexandria database).

Summary:
- space group = Pmma
- energy of formation (meV per atom) = -198
- E_tot (eV/atom) = -5.638

abc: 3.7269 5.4806 13.9212
angles: 90.00 122.36 90.00
With the nearest neighbours (Å) after each atom.
Fractional positions:
Tl 0.7176 0.7500 0.6087  8 Y 3.23-3.33
Tl 0.2824 0.2500 0.3913  8 Y 3.23-3.33
Y 0.6896 0.7500 0.0949  12 Y 3.42-3.78
Y 0.2513 0.2500 0.6257  6 Tl 3.32-3.33, 2 Y 3.67
Y 0.6670 0.7500 0.8335  2 Tl 3.23, 6 Y 3.42-3.59
Y 0.7487 0.7500 0.3743  6 Tl 3.32-3.33, 2 Y 3.67
Y 0.3330 0.2500 0.1665  2 Tl 3.23, 6 Y 3.42-3.59
Y 0.3104 0.2500 0.9051  12 Y 3.42-3.78

---

# 17
# Y3Tl4

An optimized crystal structure of Y3Tl4 (PBE, the Alexandria database).

Summary:
- ΔE to the lowest computed polymorph (kcal/mol of atoms) = 7.95
- space group = P6/mmm
- energy of formation (meV per atom) = 5
- E_tot (eV/atom) = -4.118

abc: 6.5232 6.5232 5.7605
angles: 90.00 90.00 120.00
With the nearest neighbours (Å) after each atom.
Fractional positions:
Y 0.5000 0.5000 0.0000  4 Y 3.26, 8 Tl 3.44-3.56
Y 0.0000 0.5000 0.0000  4 Y 3.26, 8 Tl 3.44-3.56
Y 0.5000 0.0000 0.0000  4 Y 3.26, 8 Tl 3.44-3.56
Tl 0.0000 0.0000 0.2497  2 Tl 2.88
Tl 0.0000 0.0000 0.7503  2 Tl 2.88
Tl 0.6667 0.3333 0.5000  6 Y 3.44, 3 Tl 3.77
Tl 0.3333 0.6667 0.5000  6 Y 3.44, 3 Tl 3.77

---

# 18
# YTl4

An optimized crystal structure of YTl4 (PBE, the Alexandria database).

Summary:
- ΔE to the lowest computed polymorph (kcal/mol of atoms) = 4.26
- space group = I4/mmm
- energy of formation (meV per atom) = 81
- E_tot (eV/atom) = -3.105

abc: 8.9067 8.9067 8.9067
angles: 151.86 151.86 40.22
With the nearest neighbours (Å) after each atom.
Fractional positions:
Tl 0.4071 0.4071 0.0000  5 Tl 3.11-3.40, 4 Y 3.43
Tl 0.5929 0.5929 0.0000  5 Tl 3.11-3.40, 4 Y 3.43
Tl 0.2500 0.7500 0.5000  8 Tl 3.06-3.40
Tl 0.7500 0.2500 0.5000  8 Tl 3.06-3.40
Y 0.0000 0.0000 0.0000  8 Tl 3.43

---

# 19
# Y2Tl

An optimized crystal structure of Y2Tl (PBE, the Alexandria database).

Summary:
- space group = Cm
- energy of formation (meV per atom) = -186
- E_tot (eV/atom) = -5.284

abc: 6.3949 6.3949 8.1984
angles: 88.16 88.16 32.86
With the nearest neighbours (Å) after each atom.
Fractional positions:
Tl 0.2874 0.2874 0.3645  7 Y 3.18-3.45
Tl 0.0479 0.0479 0.9470  8 Y 3.16-3.38
Y 0.9297 0.9297 0.5975  3 Tl 3.19-3.25, 3 Y 3.28-3.50
Y 0.3222 0.3222 0.9785  4 Tl 3.18-3.38
Y 0.6660 0.6660 0.6787  4 Tl 3.16-3.45, 3 Y 3.28-3.50
Y 0.5801 0.5801 0.2671  4 Tl 3.22-3.24, 1 Y 3.57

---

# 20
# YTl4

An optimized crystal structure of YTl4 (PBE, the Alexandria database).

Summary:
- ΔE to the lowest computed polymorph (kcal/mol of atoms) = 0.00
- space group = I4/m
- energy of formation (meV per atom) = -104
- E_tot (eV/atom) = -3.290

abc: 6.0112 6.0112 6.0112
angles: 98.40 98.40 135.05
With the nearest neighbours (Å) after each atom.
Fractional positions:
Tl 0.8011 0.3998 0.2009  9 Tl 3.38-3.53, 3 Y 3.39-3.51
Tl 0.1989 0.6002 0.7991  9 Tl 3.38-3.53, 3 Y 3.39-3.51
Tl 0.6002 0.8011 0.4013  9 Tl 3.38-3.53, 3 Y 3.39-3.51
Tl 0.3998 0.1989 0.5987  9 Tl 3.38-3.53, 3 Y 3.39-3.51
Y 0.0000 0.0000 0.0000  12 Tl 3.39-3.51